No. 1
This record from OQMD via LeMat-Bulk describes crystalline Nd2ZrSe5 at its relaxed geometry. The functional is PBE-GGA.

Summary:
Calculated density in Mg/m³: 6.5
Total energy in eV per formula unit: -49.07

Unit cell a=12.235 b=8.343 c=7.744 alpha=90.00 beta=90.00 gamma=90.00
Space group Pnma (No. 62)
Symmetry-distinct sites (fractional):
Nd1 0.178 0.003 0.033 x8
Zr1 0.008 0.750 0.579 x4
Se1 0.004 0.750 0.947 x4
Se2 0.087 0.038 0.665 x8
Se3 0.182 0.750 0.338 x4
Se4 0.208 0.250 0.319 x4

---

No. 2
This record from OQMD via LeMat-Bulk describes crystalline Nd2Si at its relaxed geometry. The functional is PBE-GGA.

Summary:
Calculated density in Mg/m³: 6.2
Total energy in eV per formula unit: -13.54

Unit cell a=8.769 b=8.769 c=8.769 alpha=90.00 beta=90.00 gamma=90.00
Space group Fd-3m (No. 227, origin choice 2)
Symmetry-distinct sites (fractional):
Nd1 0.000 0.000 0.000 x16
Si1 0.125 0.125 0.625 x8

---

No. 3
This record from OQMD via LeMat-Bulk describes crystalline Nd2Si at its relaxed geometry. The functional is PBE-GGA.

Summary:
Calculated density in Mg/m³: 2.0
Total energy in eV per formula unit: -11.67

Unit cell a=12.758 b=12.758 c=12.758 alpha=90.00 beta=90.00 gamma=90.00
Space group Fd-3m (No. 227, origin choice 2)
Symmetry-distinct sites (fractional):
Nd1 0.000 0.000 0.000 x16
Si1 0.125 0.125 0.125 x8

---

No. 4
This record from OQMD via LeMat-Bulk describes crystalline NdSmSi at its relaxed geometry. The functional is PBE-GGA.

Summary:
Calculated density in Mg/m³: 6.1
Total energy in eV per formula unit: -16.24
ΔE to the lowest computed polymorph in meV per atom: 0.0

Unit cell a=7.063 b=7.063 c=7.063 alpha=90.00 beta=90.00 gamma=90.00
Space group F-43m (No. 216)
Symmetry-distinct sites (fractional):
Nd1 0.000 0.000 0.000 x4
Sm1 0.000 0.000 0.500 x4
Si1 0.250 0.250 0.250 x4

---

No. 5
This record from OQMD via LeMat-Bulk describes crystalline NdSm2Si2 at its relaxed geometry. The functional is PBE-GGA.

Summary:
Calculated density in Mg/m³: 6.5
Total energy in eV per formula unit: -28.23

Unit cell a=7.746 b=7.746 c=4.257 alpha=90.00 beta=90.00 gamma=90.00
Space group P4/mbm (No. 127)
Symmetry-distinct sites (fractional):
Nd1 0.000 0.000 0.000 x2
Sm1 0.176 0.324 0.500 x4
Si1 0.112 0.612 0.000 x4

---

No. 6
This record from OQMD via LeMat-Bulk describes crystalline NdSmZn2Si2 at its relaxed geometry. The functional is PBE-GGA.

Summary:
Calculated density in Mg/m³: 6.4
Total energy in eV per formula unit: -26.75
ΔE to the lowest computed polymorph in meV per atom: 0.0

Unit cell a=4.1820 b=4.1820 c=16.5752 alpha=90.00 beta=90.00 gamma=120.00
Space group P6_3/mmc (No. 194)
Symmetry-distinct sites (fractional):
Nd1 0.0000 0.0000 0.0000 x2
Sm1 0.0000 0.0000 0.2500 x2
Zn1 0.3333 0.6667 0.1337 x4
Si1 0.3333 0.6667 0.6225 x4

---

No. 7
This record from OQMD via LeMat-Bulk describes crystalline NdSiSn at its relaxed geometry. The functional is PBE-GGA.

Summary:
Calculated density in Mg/m³: 5.4
Total energy in eV per formula unit: -13.90

Unit cell a=7.109 b=7.109 c=7.109 alpha=90.00 beta=90.00 gamma=90.00
Space group F-43m (No. 216)
Symmetry-distinct sites (fractional):
Nd1 0.000 0.000 0.000 x4
Si1 0.250 0.250 0.750 x4
Sn1 0.250 0.250 0.250 x4

---

No. 8
This record from OQMD via LeMat-Bulk describes crystalline Nd5Si2Sn at its relaxed geometry. The functional is PBE-GGA.

Summary:
Calculated density in Mg/m³: 6.5
Total energy in eV per formula unit: -43.82

Unit cell a=7.926 b=7.926 c=14.466 alpha=90.00 beta=90.00 gamma=90.00
Space group I4/mcm (No. 140)
Symmetry-distinct sites (fractional):
Nd1 0.000 0.000 0.000 x4
Nd2 0.174 0.326 0.139 x16
Si1 0.119 0.381 0.500 x8
Sn1 0.000 0.000 0.250 x4

---

No. 9
This record from OQMD via LeMat-Bulk describes crystalline NdSiSn at its relaxed geometry. The functional is PBE-GGA.

Summary:
Calculated density in Mg/m³: 5.9
Total energy in eV per formula unit: -14.73

Unit cell a=6.891 b=6.891 c=6.891 alpha=90.00 beta=90.00 gamma=90.00
Space group F-43m (No. 216)
Symmetry-distinct sites (fractional):
Nd1 0.000 0.000 0.000 x4
Si1 0.250 0.250 0.250 x4
Sn1 0.000 0.000 0.500 x4

---

No. 10
This record from OQMD via LeMat-Bulk describes crystalline SrNdSi3 at its relaxed geometry. The functional is PBE-GGA.

Summary:
Calculated density in Mg/m³: 4.2
Total energy in eV per formula unit: -23.46

Unit cell a=4.179 b=4.179 c=14.203 alpha=90.00 beta=90.00 gamma=90.00
Space group I4mm (No. 107)
Symmetry-distinct sites (fractional):
Sr1 0.000 0.000 0.000 x2
Nd1 0.000 0.000 0.684 x2
Si1 0.000 0.000 0.439 x2
Si2 0.000 0.500 0.333 x4

---

No. 11
This record from OQMD via LeMat-Bulk describes crystalline SrNdSi2 at its relaxed geometry. The functional is PBE-GGA.

Summary:
Calculated density in Mg/m³: 4.1
Total energy in eV per formula unit: -17.97

Unit cell a=6.172 b=18.076 c=4.195 alpha=90.00 beta=90.00 gamma=90.00
Space group Cmcm (No. 63)
Symmetry-distinct sites (fractional):
Sr1 0.000 0.180 0.250 x4
Nd1 0.000 0.421 0.250 x4
Si1 0.000 0.034 0.750 x4
Si2 0.000 0.316 0.750 x4

---

No. 12
This record from OQMD via LeMat-Bulk describes crystalline SrNdSi4 at its relaxed geometry. The functional is PBE-GGA.

Summary:
Calculated density in Mg/m³: 4.4
Total energy in eV per formula unit: -31.06

Unit cell a=4.387 b=4.387 c=13.573 alpha=90.00 beta=90.00 gamma=90.00
Space group I-4m2 (No. 119)
Symmetry-distinct sites (fractional):
Sr1 0.000 0.000 0.000 x2
Nd1 0.000 0.500 0.250 x2
Si1 0.000 0.000 0.412 x4
Si2 0.000 0.500 0.666 x4

---

No. 13
This record from OQMD via LeMat-Bulk describes crystalline TbNd2Zn4Si4 at its relaxed geometry. The functional is PBE-GGA.

Summary:
Calculated density in Mg/m³: 6.5
Total energy in eV per formula unit: -47.12

Unit cell a=4.108 b=4.152 c=24.727 alpha=90.00 beta=90.00 gamma=90.00
Space group Immm (No. 71)
Symmetry-distinct sites (fractional):
Tb1 0.000 0.000 0.000 x2
Nd1 0.000 0.500 0.144 x4
Zn1 0.000 0.000 0.250 x4
Zn2 0.000 0.500 0.407 x4
Si1 0.000 0.000 0.453 x4
Si2 0.000 0.500 0.310 x4

---

No. 14
This record from OQMD via LeMat-Bulk describes crystalline TbNdZn2Si2 at its relaxed geometry. The functional is PBE-GGA.

Summary:
Calculated density in Mg/m³: 6.7
Total energy in eV per formula unit: -26.65
ΔE to the lowest computed polymorph in meV per atom: 0.0

Unit cell a=4.1673 b=4.1673 c=16.2692 alpha=90.00 beta=90.00 gamma=120.00
Space group P6_3/mmc (No. 194)
Symmetry-distinct sites (fractional):
Tb1 0.0000 0.0000 0.2500 x2
Nd1 0.0000 0.0000 0.0000 x2
Zn1 0.3333 0.6667 0.1381 x4
Si1 0.3333 0.6667 0.6237 x4

---

No. 15
This record from OQMD via LeMat-Bulk describes crystalline NdSi2Tc at its relaxed geometry. The functional is PBE-GGA.

Summary:
Calculated density in Mg/m³: 6.6
Total energy in eV per formula unit: -28.66

Unit cell a=7.325 b=4.000 c=10.237 alpha=90.00 beta=90.00 gamma=90.00
Space group Pnma (No. 62)
Symmetry-distinct sites (fractional):
Nd1 0.144 0.250 0.126 x4
Si1 0.160 0.250 0.812 x4
Si2 0.200 0.250 0.426 x4
Tc1 0.011 0.750 0.392 x4

---

No. 16
This record from OQMD via LeMat-Bulk describes crystalline NdSi2Tc4 at its relaxed geometry. The functional is PBE-GGA.

Summary:
Calculated density in Mg/m³: 8.3
Total energy in eV per formula unit: -60.59

Unit cell a=4.142 b=13.909 c=4.129 alpha=90.00 beta=90.00 gamma=90.00
Space group Cmmm (No. 65)
Symmetry-distinct sites (fractional):
Nd1 0.000 0.000 0.000 x2
Si1 0.000 0.410 0.500 x4
Tc1 0.000 0.191 0.500 x4
Tc2 0.000 0.304 0.000 x4

---

No. 17
This record from OQMD via LeMat-Bulk describes crystalline NdSi2Tc2 at its relaxed geometry. The functional is PBE-GGA.

Summary:
Calculated density in Mg/m³: 7.3
Total energy in eV per formula unit: -39.28
ΔE to the lowest computed polymorph in meV per atom: 6.9

Unit cell a=4.129 b=4.186 c=20.836 alpha=90.00 beta=90.00 gamma=90.00
Space group Imma (No. 74)
Symmetry-distinct sites (fractional):
Nd1 0.000 0.250 0.164 x4
Si1 0.000 0.250 0.605 x4
Si2 0.000 0.250 0.721 x4
Tc1 0.000 0.250 0.462 x4
Tc2 0.000 0.250 0.964 x4

---

No. 18
This record from OQMD via LeMat-Bulk describes crystalline Nd5SiTe4 at its relaxed geometry. The functional is PBE-GGA.

Summary:
Calculated density in Mg/m³: 6.6
Total energy in eV per formula unit: -55.27

Unit cell a=10.007 b=10.007 c=6.296 alpha=90.00 beta=90.00 gamma=90.00
Space group I4/m (No. 87)
Symmetry-distinct sites (fractional):
Nd1 0.000 0.000 0.000 x2
Nd2 0.095 0.275 0.500 x8
Si1 0.000 0.000 0.500 x2
Te1 0.093 0.305 0.000 x8

---

No. 19
This record from OQMD via LeMat-Bulk describes crystalline NdTmSi at its relaxed geometry. The functional is PBE-GGA.

Summary:
Calculated density in Mg/m³: 6.8
Total energy in eV per formula unit: -15.96
ΔE to the lowest computed polymorph in meV per atom: 0.0

Unit cell a=6.930 b=6.930 c=6.930 alpha=90.00 beta=90.00 gamma=90.00
Space group F-43m (No. 216)
Symmetry-distinct sites (fractional):
Nd1 0.000 0.000 0.000 x4
Tm1 0.000 0.000 0.500 x4
Si1 0.250 0.250 0.250 x4

---

No. 20
This record from OQMD via LeMat-Bulk describes crystalline Nd2Si3W2 at its relaxed geometry. The functional is PBE-GGA.

Summary:
Calculated density in Mg/m³: 8.0
Total energy in eV per formula unit: -51.94

Unit cell a=13.746 b=3.739 c=6.507 alpha=90.00 beta=113.70 gamma=90.00
Space group C2/m (No. 12)
Symmetry-distinct sites (fractional):
Nd1 0.099 0.000 0.277 x4
Si1 0.000 0.500 0.500 x2
Si2 0.241 0.000 0.739 x4
W1 0.156 0.500 0.850 x4